P) Material: Y4SbIr
Method: DFT, GGA-PBE
State: relaxed

DOS(E_F) = 8.83 states/eV/f.u.
calculated volume = 155.5 Å³/f.u.

```
data_Y4SbIr
_chemical_formula_sum 'Y16 Sb4 Ir4'
_space_group_name_H-M_alt 'F -4 3 m'
_space_group_IT_number 216
_space_group_name_Hall 'F -4 2 3'
_cell_length_a 8.5358
_cell_length_b 8.5358
_cell_length_c 8.5358
_cell_angle_alpha 90.00
_cell_angle_beta 90.00
_cell_angle_gamma 90.00
loop_
_atom_site_label
_atom_site_type_symbol
_atom_site_fract_x
_atom_site_fract_y
_atom_site_fract_z
Y1 Y 0.1243 0.1243 0.1243
Sb1 Sb 0.0000 0.0000 0.5000
Ir1 Ir 0.2500 0.2500 0.7500
```


Q) Material: Y4SbIr
Method: DFT, GGA-PBE
State: relaxed

DOS(E_F) = 6.19 states/eV/f.u.
calculated volume = 161.3 Å³/f.u.

```
data_Y4SbIr
_chemical_formula_sum 'Y8 Sb2 Ir2'
_space_group_name_H-M_alt 'P 1 21/m 1'
_space_group_IT_number 11
_cell_length_a 5.7790
_cell_length_b 6.6568
_cell_length_c 8.5683
_cell_angle_alpha 90.00
_cell_angle_beta 101.89
_cell_angle_gamma 90.00
loop_
_space_group_symop_operation_xyz
'x,y,z'
'-x,-y,-z'
'-x,y+1/2,-z'
'x,-y+1/2,z'
loop_
_atom_site_label
_atom_site_type_symbol
_atom_site_fract_x
_atom_site_fract_y
_atom_site_fract_z
Y1 Y 0.1415 0.2500 0.0586
Y2 Y 0.2195 0.7500 0.3523
Y3 Y 0.3264 0.5077 0.7608
Sb1 Sb 0.2201 0.2500 0.4292
Ir1 Ir 0.3495 0.7500 0.0462
```


Verdict on stability: P) comes out at the bottom.


P) Material: YZrSb2Ir
Method: DFT, GGA-PBE
State: relaxed

DOS(E_F) = 6.34 states/eV/f.u.
calculated volume = 151.6 Å³/f.u.

```
data_YZrSb2Ir
_chemical_formula_sum 'Y1 Zr1 Sb2 Ir1'
_space_group_name_H-M_alt 'P 4/m m m'
_space_group_IT_number 123
_space_group_name_Hall '-P 4 2'
_cell_length_a 5.3394
_cell_length_b 5.3394
_cell_length_c 5.3182
_cell_angle_alpha 90.00
_cell_angle_beta 90.00
_cell_angle_gamma 90.00
loop_
_atom_site_label
_atom_site_type_symbol
_atom_site_fract_x
_atom_site_fract_y
_atom_site_fract_z
Y1 Y 0.0000 0.0000 0.0000
Zr1 Zr 0.0000 0.0000 0.5000
Sb1 Sb 0.0000 0.5000 0.5000
Ir1 Ir 0.5000 0.5000 0.0000
```


Q) Material: YZrSb2Ir
Method: DFT, GGA-PBE
State: relaxed

DOS(E_F) = 5.90 states/eV/f.u.
calculated volume = 138.0 Å³/f.u.

```
data_YZrSb2Ir
_chemical_formula_sum 'Y1 Zr1 Sb2 Ir1'
_space_group_name_H-M_alt 'P 4/m m m'
_space_group_IT_number 123
_space_group_name_Hall '-P 4 2'
_cell_length_a 5.2392
_cell_length_b 5.2392
_cell_length_c 5.0287
_cell_angle_alpha 90.00
_cell_angle_beta 90.00
_cell_angle_gamma 90.00
loop_
_atom_site_label
_atom_site_type_symbol
_atom_site_fract_x
_atom_site_fract_y
_atom_site_fract_z
Y1 Y 0.0000 0.0000 0.0000
Zr1 Zr 0.5000 0.5000 0.0000
Sb1 Sb 0.0000 0.5000 0.5000
Ir1 Ir 0.5000 0.5000 0.5000
```


Verdict on stability: P) comes out at the bottom.


P) Material: Sc4Ir3
Method: DFT, GGA-PBE
State: relaxed

DOS(E_F) = 4.53 states/eV/f.u.
calculated volume = 132.0 Å³/f.u.

```
data_Sc4Ir3
_chemical_formula_sum 'Sc12 Ir9'
_space_group_name_H-M_alt 'R -3 m'
_space_group_IT_number 166
_space_group_name_Hall '-R 3 2"'
_cell_length_a 4.5348
_cell_length_b 4.5348
_cell_length_c 22.2405
_cell_angle_alpha 90.00
_cell_angle_beta 90.00
_cell_angle_gamma 120.00
loop_
_atom_site_label
_atom_site_type_symbol
_atom_site_fract_x
_atom_site_fract_y
_atom_site_fract_z
Sc1 Sc 0.0000 0.0000 0.1220
Sc2 Sc 0.0000 0.0000 0.3732
Ir1 Ir 0.0000 0.0000 0.2491
Ir2 Ir 0.0000 0.0000 0.5000
```


Q) Material: Sc4Ir3
Method: DFT, GGA-PBE
State: relaxed

DOS(E_F) = 9.02 states/eV/f.u.
calculated volume = 126.9 Å³/f.u.

```
data_Sc4Ir3
_chemical_formula_sum 'Sc4 Ir3'
_space_group_name_H-M_alt 'P 6/m m m'
_space_group_IT_number 191
_space_group_name_Hall '-P 6 2'
_cell_length_a 5.4356
_cell_length_b 5.4356
_cell_length_c 4.9592
_cell_angle_alpha 90.00
_cell_angle_beta 90.00
_cell_angle_gamma 120.00
loop_
_atom_site_label
_atom_site_type_symbol
_atom_site_fract_x
_atom_site_fract_y
_atom_site_fract_z
Sc1 Sc 0.0000 0.0000 0.2360
Sc2 Sc 0.3333 0.6667 0.5000
Ir1 Ir 0.0000 0.5000 0.0000
```


R) Material: Sc4Ir3
Method: DFT, GGA-PBE
State: relaxed

DOS(E_F) = 3.68 states/eV/f.u.
calculated volume = 133.3 Å³/f.u.

```
data_Sc4Ir3
_chemical_formula_sum 'Sc8 Ir6'
_space_group_name_H-M_alt 'I 4/m m m'
_space_group_IT_number 139
_space_group_name_Hall '-I 4 2'
_cell_length_a 3.5783
_cell_length_b 3.5783
_cell_length_c 20.8287
_cell_angle_alpha 90.00
_cell_angle_beta 90.00
_cell_angle_gamma 90.00
loop_
_atom_site_label
_atom_site_type_symbol
_atom_site_fract_x
_atom_site_fract_y
_atom_site_fract_z
Sc1 Sc 0.0000 0.0000 0.0683
Sc2 Sc 0.0000 0.0000 0.3348
Ir1 Ir 0.0000 0.0000 0.1985
Ir2 Ir 0.0000 0.0000 0.5000
```


Verdict on stability: Q) comes out at the bottom.